Below is NaDy2ThTe4 after structural relaxation, with properties calculated at the PBE-GGA level.

abc: 4.352 7.761 7.618
angles: 108.52 90.00 90.00
Positions (direct):
Na 0.500 0.500 0.000
Dy 0.500 0.000 0.500
Dy 0.000 0.500 0.500
Th 0.000 0.000 0.000
Te 0.500 0.258 0.257
Te 0.500 0.742 0.743
Te 0.000 0.249 0.743
Te 0.000 0.751 0.257

Values from the calculation:
The value obtained for the uncorrected formation energy is -1.211 eV/atom. Its symmetry is P2/m (10).



Below is Ni2BiN after structural relaxation, with properties calculated at the PBE-GGA level.

abc: 4.753 4.753 6.428
angles: 68.30 68.30 90.00
Positions (direct):
Ni 0.451 0.125 0.250
Ni 0.299 0.625 0.250
Ni 0.375 0.549 0.750
Ni 0.875 0.701 0.750
Bi 0.000 0.000 0.000
Bi 0.750 0.250 0.500
N 0.500 0.500 0.000
N 0.250 0.750 0.500

Values from the calculation:
The calculation puts the excess energy over the best structure of this formula in the dataset at 0.00 eV per formula unit. The value obtained for the uncorrected formation energy is 0.143 eV/atom. Its symmetry is I-42d (122).



Below is K16Rb4Au3 after structural relaxation, with properties calculated at the PBE-GGA level.

abc: 8.843 8.843 18.310
angles: 90.00 90.00 90.00
Positions (direct):
K 0.000 0.000 0.815
K 0.259 0.259 0.000
K 0.500 0.500 0.798
K 0.741 0.259 0.000
K 0.500 0.500 0.202
K 0.741 0.741 0.000
K 0.000 0.000 0.185
K 0.752 0.752 0.603
K 0.752 0.248 0.397
K 0.248 0.248 0.603
K 0.248 0.752 0.397
K 0.259 0.741 0.000
K 0.752 0.752 0.397
K 0.752 0.248 0.603
K 0.248 0.248 0.397
K 0.248 0.752 0.603
Rb 0.500 0.000 0.800
Rb 0.000 0.500 0.200
Rb 0.000 0.500 0.800
Rb 0.500 0.000 0.200
Au 0.000 0.500 0.500
Au 0.000 0.000 0.000
Au 0.500 0.000 0.500

Values from the calculation:
Its calculated total energy is -1.42 eV/atom. Its symmetry is P4/mmm (123).



Below is HfCuSn2 after structural relaxation, with properties calculated at the PBE-GGA level.

abc: 4.935 4.935 4.935
angles: 60.00 60.00 60.00
Positions (direct):
Hf 0.500 0.500 0.500
Sn 0.250 0.250 0.250
Sn 0.750 0.750 0.750
Cu 0.000 0.000 0.000

Values from the calculation:
The calculation puts the excess energy over the best structure of this formula in the dataset at 1.11 eV per formula unit. Its symmetry is Fm-3m (225).



Below is NiRu5 after structural relaxation, with properties calculated at the PBE-GGA level.

abc: 5.002 5.002 5.002
angles: 60.00 60.00 60.00
Positions (direct):
Ni 0.000 0.000 0.000
Ru 0.876 0.375 0.375
Ru 0.750 0.750 0.750
Ru 0.375 0.876 0.375
Ru 0.375 0.375 0.375
Ru 0.375 0.375 0.876

Values from the calculation:
The calculation puts the excess energy over the best structure of this formula in the dataset at 3.85 eV per formula unit. Its symmetry is F-43m (216).



Below is ErZnPd2 after structural relaxation, with properties calculated at the PBE-GGA level.

abc: 4.650 4.650 4.650
angles: 60.00 60.00 60.00
Positions (direct):
Zn 0.750 0.750 0.750
Pd 0.000 0.000 0.000
Pd 0.500 0.500 0.500
Er 0.250 0.250 0.250

Values from the calculation:
Its calculated total energy is -4.82 eV/atom. Its symmetry is Fm-3m (225).



| no. | calculated volume (Å³/f.u.) |
| --- | --- |
| 1 | 244.0 |
| 2 | 61.9 |
| 3 | 1431.8 |
| 4 | 85.0 |
| 5 | 88.5 |
| 6 | 71.1 |